[1]
Computed, not measured: a relaxed KTi2Bi2O7 crystal at the PBE level of DFT.

Cell lengths 9.0365, 9.0365, 9.0365 Å; angles 154.11, 48.96, 139.19 degrees
With the nearest neighbours (Å) after each atom.
Atoms (fractional coordinates):
K1 0.0000 0.0000 0.0000  6 O 2.89-3.22
Ti1 0.3722 0.9747 0.3975  2 O 1.77-1.87
Ti2 0.5771 0.9747 0.6025  2 O 1.77-1.87
Bi1 0.2535 0.5176 0.7359  5 O 2.28-2.53
Bi2 0.7817 0.5176 0.2641  5 O 2.28-2.53
O1 0.0931 0.6941 0.3990  1 Ti 1.77
O2 0.2951 0.6941 0.6010  1 Ti 1.77
O3 0.3861 0.5111 0.8749  2 Ti 2.07, 1 Bi 2.29
O4 0.4056 0.1195 0.2862  1 Ti 2.05, 2 Bi 2.28
O5 0.6017 0.1017 0.5000  2 Ti 1.87
O6 0.6362 0.5111 0.1251  2 Ti 2.07, 1 Bi 2.29
O7 0.8333 0.1195 0.7138  1 Ti 2.05, 2 Bi 2.28

Results
The electronic total energy comes out at -6.9520 eV/atom.

[2]
Computed, not measured: a relaxed Rb4TeBr2 crystal at the PBE level of DFT.

Cell lengths 14.2056, 5.1167, 17.7532 Å; angles 90.00, 90.00, 90.00 degrees
With the nearest neighbours (Å) after each atom.
Atoms (fractional coordinates):
Rb1 0.0050 0.2500 0.2122  3 Br 3.41-3.52, 1 Te 3.81
Rb2 0.0735 0.2500 0.5872  3 Br 3.44-3.59, 2 Te 3.66
Rb3 0.1596 0.7500 0.0272  3 Br 3.46-3.65, 2 Te 3.76
Rb4 0.2322 0.7500 0.2999  3 Br 3.37-3.57, 2 Te 3.62
Rb5 0.2678 0.2500 0.7999  3 Br 3.37-3.57, 2 Te 3.62
Rb6 0.3404 0.2500 0.5272  3 Br 3.46-3.65, 2 Te 3.76
Rb7 0.4265 0.7500 0.0872  3 Br 3.44-3.59, 2 Te 3.66
Rb8 0.4950 0.7500 0.7122  3 Br 3.41-3.52, 1 Te 3.81
Rb9 0.5050 0.2500 0.2878  3 Br 3.41-3.52, 1 Te 3.81
Rb10 0.5735 0.2500 0.9128  3 Br 3.44-3.59, 2 Te 3.66
Rb11 0.6596 0.7500 0.4728  3 Br 3.46-3.65, 2 Te 3.76
Rb12 0.7322 0.7500 0.2001  3 Br 3.37-3.57, 2 Te 3.62
Rb13 0.7678 0.2500 0.7001  3 Br 3.37-3.57, 2 Te 3.62
Rb14 0.8404 0.2500 0.9728  3 Br 3.46-3.65, 2 Te 3.76
Rb15 0.9265 0.7500 0.4128  3 Br 3.44-3.59, 2 Te 3.66
Rb16 0.9950 0.7500 0.7878  3 Br 3.41-3.52, 1 Te 3.81
Te1 0.2354 0.7500 0.6577  7 Rb 3.62-3.81
Te2 0.2646 0.2500 0.1577  7 Rb 3.62-3.81
Te3 0.7354 0.7500 0.8423  7 Rb 3.62-3.81
Te4 0.7646 0.2500 0.3423  7 Rb 3.62-3.81
Br1 0.0667 0.2500 0.9008  6 Rb 3.37-3.65
Br2 0.1023 0.2500 0.3946  6 Rb 3.44-3.59
Br3 0.3977 0.7500 0.8946  6 Rb 3.44-3.59
Br4 0.4333 0.7500 0.4008  6 Rb 3.37-3.65
Br5 0.5667 0.2500 0.5992  6 Rb 3.37-3.65
Br6 0.6023 0.2500 0.1054  6 Rb 3.44-3.59
Br7 0.8977 0.7500 0.6054  6 Rb 3.44-3.59
Br8 0.9333 0.7500 0.0992  6 Rb 3.37-3.65

Results
The electronic total energy comes out at -2.8653 eV/atom.

[3]
Computed, not measured: a relaxed Sm4HoErSe8 crystal at the PBE level of DFT.

Cell lengths 8.5151, 8.5151, 8.5151 Å; angles 60.07, 60.07, 60.07 degrees
With the nearest neighbours (Å) after each atom.
Atoms (fractional coordinates):
Sm1 0.0000 0.0000 0.0000  4 Se 2.77-2.79
Sm2 0.3769 0.3769 0.8727  6 Se 2.94-2.96
Sm3 0.3769 0.8727 0.3769  6 Se 2.94-2.96
Sm4 0.8727 0.3769 0.3769  6 Se 2.94-2.96
Ho1 0.3766 0.3766 0.3766  6 Se 2.87-2.89
Er1 0.7515 0.7515 0.7515  4 Se 2.70-2.72
Se1 0.1329 0.1329 0.1329  4 Sm 2.77-2.94
Se2 0.1385 0.1385 0.5991  3 Sm 2.79-2.95, 1 Ho 2.87
Se3 0.1385 0.5991 0.1385  3 Sm 2.79-2.95, 1 Ho 2.87
Se4 0.1421 0.6164 0.6164  1 Er 2.72, 1 Ho 2.89, 2 Sm 2.96
Se5 0.5991 0.1385 0.1385  3 Sm 2.79-2.95, 1 Ho 2.87
Se6 0.6164 0.1421 0.6164  1 Er 2.72, 1 Ho 2.89, 2 Sm 2.96
Se7 0.6164 0.6164 0.1421  1 Er 2.72, 1 Ho 2.89, 2 Sm 2.96
Se8 0.6221 0.6221 0.6221  1 Er 2.70, 3 Sm 2.96

Results
The electronic total energy comes out at -5.7110 eV/atom.

[4]
Computed, not measured: a relaxed LaBiAsSe2 crystal at the PBE level of DFT.

Cell lengths 5.6437, 5.6437, 5.7418 Å; angles 90.00, 90.00, 90.00 degrees
With the nearest neighbours (Å) after each atom.
Atoms (fractional coordinates):
La1 0.0000 0.0000 0.0000  4 Se 2.82, 2 As 2.87
Bi1 0.5000 0.5000 0.5000  4 As 3.99, 8 Se 4.03
As1 0.0000 0.0000 0.5000  2 La 2.87
Se1 0.0000 0.5000 0.0000  2 La 2.82
Se2 0.5000 0.0000 0.0000  2 La 2.82

Results
The electronic total energy comes out at -4.0519 eV/atom.

[5]
Computed, not measured: a relaxed LaTb2As crystal at the PBE level of DFT.

Cell lengths 10.7837, 10.7837, 10.7837 Å; angles 20.40, 20.40, 20.40 degrees
With the nearest neighbours (Å) after each atom.
Atoms (fractional coordinates):
La1 0.0000 0.0000 0.0000  2 Tb 3.55, 6 La 3.82
Tb1 0.1122 0.1122 0.1122  3 As 2.80
Tb2 0.8878 0.8878 0.8878  3 As 2.80
As1 0.5000 0.5000 0.5000  6 Tb 2.80

Results
For the formation energy, the calculation gives -457.8 meV per atom.

[6]
Computed, not measured: a relaxed Rb8Sb2Au crystal at the PBE level of DFT.

Cell lengths 10.3618, 10.3618, 11.1452 Å; angles 100.59, 100.59, 35.74 degrees
With the nearest neighbours (Å) after each atom.
Atoms (fractional coordinates):
Rb1 0.0667 0.0667 0.2134  1 Sb 3.49, 1 Au 3.68
Rb2 0.2079 0.2079 0.5716  3 Sb 3.78-3.82, 1 Au 4.02, 3 Rb 4.05-4.06
Rb3 0.2924 0.2924 0.9338  3 Sb 3.77-3.78, 3 Rb 4.01-4.06
Rb4 0.4253 0.4253 0.3370  1 Sb 3.48, 2 Au 3.81
Rb5 0.5747 0.5747 0.6630  1 Sb 3.48, 2 Au 3.81
Rb6 0.7076 0.7076 0.0662  3 Sb 3.77-3.78, 3 Rb 4.01-4.06
Rb7 0.7921 0.7921 0.4284  3 Sb 3.78-3.82, 1 Au 4.02, 3 Rb 4.05-4.06
Rb8 0.9333 0.9333 0.7866  1 Sb 3.49, 1 Au 3.68
Sb1 0.2462 0.2462 0.2480  8 Rb 3.48-3.82
Sb2 0.7538 0.7538 0.7520  8 Rb 3.48-3.82
Au1 0.0000 0.0000 0.5000  8 Rb 3.68-4.02

Results
The electronic total energy comes out at -2.0122 eV/atom.

[7]
Computed, not measured: a relaxed Re3Mo crystal at the PBE level of DFT.

Cell lengths 5.1917, 5.1917, 5.1917 Å; angles 117.06, 117.06, 117.06 degrees
With the nearest neighbours (Å) after each atom.
Atoms (fractional coordinates):
Re1 0.0000 0.5000 0.5000  6 Re 2.70-2.71, 2 Mo 2.71
Re2 0.5000 0.0000 0.5000  6 Re 2.70-2.71, 2 Mo 2.71
Re3 0.5000 0.5000 0.0000  6 Re 2.70-2.71, 2 Mo 2.71
Mo1 0.0000 0.0000 0.0000  2 Mo 2.70, 6 Re 2.71

Results
For the formation energy, the calculation gives 204.3 meV per atom.

[8]
Computed, not measured: a relaxed YZrSe crystal at the PBE level of DFT.

Cell lengths 6.1598, 6.1598, 6.1598 Å; angles 146.27, 146.27, 48.45 degrees
With the nearest neighbours (Å) after each atom.
Atoms (fractional coordinates):
Y1 0.0000 0.0000 0.0000  5 Zr 3.32-3.46, 5 Se 3.35-3.40, 4 Y 3.57
Zr1 0.6916 0.6916 0.0000  4 Se 2.80
Se1 0.2979 0.2979 0.0000  4 Zr 2.80

Results
The electronic total energy comes out at -6.9766 eV/atom.

[9]
Computed, not measured: a relaxed Dy2NpCr2C4 crystal at the PBE level of DFT.

Cell lengths 6.6199, 6.6199, 5.9906 Å; angles 108.75, 108.75, 29.36 degrees
With the nearest neighbours (Å) after each atom.
Atoms (fractional coordinates):
Dy1 0.1362 0.1362 0.0428  7 C 2.57-2.85
Dy2 0.8638 0.8638 0.9572  7 C 2.57-2.85
Np1 0.0000 0.0000 0.5000  4 C 2.37
Cr1 0.3198 0.3198 0.5078  4 C 1.95-2.07
Cr2 0.6802 0.6802 0.4922  4 C 1.95-2.07
C1 0.2205 0.2205 0.7047  3 Cr 2.00-2.07
C2 0.4667 0.4667 0.7476  1 Cr 1.95
C3 0.5333 0.5333 0.2524  1 Cr 1.95
C4 0.7795 0.7795 0.2953  3 Cr 2.00-2.07

Results
For the formation energy, the calculation gives -36.8 meV per atom.

[10]
Computed, not measured: a relaxed Cd2TcW crystal at the PBE level of DFT.

Cell lengths 6.0116, 6.0116, 6.0116 Å; angles 101.37, 101.37, 127.29 degrees
With the nearest neighbours (Å) after each atom.
Atoms (fractional coordinates):
Cd1 0.1196 0.6250 0.9946  2 Cd 2.67, 2 Tc 2.75, 2 W 2.80
Cd2 0.3750 0.3696 0.4946  2 Cd 2.67, 2 Tc 2.75, 2 W 2.80
Cd3 0.6304 0.1250 0.0054  2 Cd 2.67, 2 Tc 2.75, 2 W 2.80
Cd4 0.8750 0.8803 0.5053  2 Cd 2.67, 2 Tc 2.75, 2 W 2.80
Tc1 0.0000 0.0000 0.0000  2 W 2.67, 4 Cd 2.75
Tc2 0.7500 0.2500 0.5000  2 W 2.67, 4 Cd 2.75
W1 0.2500 0.7500 0.5000  2 Tc 2.67, 4 Cd 2.80
W2 0.5000 0.5000 0.0000  2 Tc 2.67, 4 Cd 2.80

Results
For the formation energy, the calculation gives 1249.3 meV per atom.

[11]
Computed, not measured: a relaxed SrCu6Sn2 crystal at the PBE level of DFT.

Cell lengths 4.4061, 4.4061, 8.3963 Å; angles 90.00, 90.00, 90.00 degrees
With the nearest neighbours (Å) after each atom.
Atoms (fractional coordinates):
Sr1 0.0000 0.0000 0.0000  8 Sn 3.45, 8 Cu 3.65
Cu1 0.0000 0.0000 0.5000  8 Cu 2.55
Cu2 0.0000 0.5000 0.3461  5 Cu 2.55-2.58, 2 Sn 2.63
Cu3 0.0000 0.5000 0.6539  5 Cu 2.55-2.58, 2 Sn 2.63
Cu4 0.5000 0.0000 0.3461  5 Cu 2.55-2.58, 2 Sn 2.63
Cu5 0.5000 0.0000 0.6539  5 Cu 2.55-2.58, 2 Sn 2.63
Cu6 0.5000 0.5000 0.5000  8 Cu 2.55, 2 Sn 2.73
Sn1 0.5000 0.5000 0.1752  5 Cu 2.63-2.73, 1 Sn 2.94
Sn2 0.5000 0.5000 0.8248  5 Cu 2.63-2.73, 1 Sn 2.94

Results
For the formation energy, the calculation gives -104.1 meV per atom.

[12]
Computed, not measured: a relaxed Cs3Ag2Br7 crystal at the PBE level of DFT.

Cell lengths 14.8444, 14.8444, 14.8444 Å; angles 158.55, 158.55, 30.52 degrees
With the nearest neighbours (Å) after each atom.
Atoms (fractional coordinates):
Cs1 0.0000 0.0000 0.0000  12 Br 3.82-3.91
Cs2 0.1802 0.1802 0.0000  9 Br 3.70-3.92
Cs3 0.8198 0.8198 0.0000  9 Br 3.70-3.92
Ag1 0.4047 0.4047 0.0000  6 Br 2.73-2.76
Ag2 0.5953 0.5953 0.0000  6 Br 2.73-2.76
Br1 0.0920 0.5920 0.5000  2 Ag 2.76
Br2 0.3095 0.3095 0.0000  1 Ag 2.73
Br3 0.4080 0.9080 0.5000  2 Ag 2.76
Br4 0.5000 0.5000 0.0000  2 Ag 2.73
Br5 0.5920 0.0920 0.5000  2 Ag 2.76
Br6 0.6905 0.6905 0.0000  1 Ag 2.73
Br7 0.9080 0.4080 0.5000  2 Ag 2.76

Results
The electronic total energy comes out at -2.7151 eV/atom.

[13]
Computed, not measured: a relaxed KHg3Pd2 crystal at the PBE level of DFT.

Cell lengths 10.1360, 10.1360, 10.1360 Å; angles 34.88, 34.88, 34.88 degrees
With the nearest neighbours (Å) after each atom.
Atoms (fractional coordinates):
K1 0.1948 0.1948 0.1948  9 Hg 3.48-3.74, 3 K 3.86
K2 0.8052 0.8052 0.8052  9 Hg 3.48-3.74, 3 K 3.86
Hg1 0.2458 0.2458 0.7458  3 Pd 2.86, 4 Hg 3.04
Hg2 0.2458 0.7458 0.2458  3 Pd 2.86, 4 Hg 3.04
Hg3 0.2542 0.7542 0.7542  3 Pd 2.86, 4 Hg 3.04
Hg4 0.7458 0.2458 0.2458  3 Pd 2.86, 4 Hg 3.04
Hg5 0.7542 0.2542 0.7542  3 Pd 2.86, 4 Hg 3.04
Hg6 0.7542 0.7542 0.2542  3 Pd 2.86, 4 Hg 3.04
Pd1 0.0000 0.0000 0.0000  6 Hg 2.86, 6 Pd 3.04
Pd2 0.0000 0.5000 0.5000  4 Hg 2.86, 6 Pd 3.04
Pd3 0.5000 0.0000 0.5000  4 Hg 2.86, 6 Pd 3.04
Pd4 0.5000 0.5000 0.0000  4 Hg 2.86, 6 Pd 3.04

Results
For the formation energy, the calculation gives -67.6 meV per atom.

[14]
Computed, not measured: a relaxed LaPr2In6 crystal at the PBE level of DFT.

Cell lengths 8.7212, 8.7212, 3.7911 Å; angles 90.00, 90.00, 120.00 degrees
With the nearest neighbours (Å) after each atom.
Atoms (fractional coordinates):
La1 0.0000 0.0000 0.0000  12 In 3.48, 2 La 3.79
Pr1 0.3333 0.6667 0.0000  12 In 3.47, 2 Pr 3.79
Pr2 0.6667 0.3333 0.0000  12 In 3.47, 2 Pr 3.79
In1 0.0000 0.3341 0.5000  3 In 2.89-2.91
In2 0.0000 0.6659 0.5000  3 In 2.89-2.91
In3 0.3341 0.0000 0.5000  3 In 2.89-2.91
In4 0.3341 0.3341 0.5000  3 In 2.89-2.91
In5 0.6659 0.0000 0.5000  3 In 2.89-2.91
In6 0.6659 0.6659 0.5000  3 In 2.89-2.91

Results
For the formation energy, the calculation gives -484.2 meV per atom.

[15]
Computed, not measured: a relaxed CsScP2 crystal at the PBE level of DFT.

Cell lengths 5.1409, 5.1409, 5.1409 Å; angles 60.00, 60.00, 60.00 degrees
With the nearest neighbours (Å) after each atom.
Atoms (fractional coordinates):
Cs1 0.0000 0.0000 0.0000  8 P 3.15
Sc1 0.5000 0.5000 0.5000  8 P 3.15
P1 0.2500 0.2500 0.2500  4 Sc 3.15, 4 Cs 3.15
P2 0.7500 0.7500 0.7500  4 Sc 3.15, 4 Cs 3.15

Results
For the formation energy, the calculation gives 227.2 meV per atom.

[16]
Computed, not measured: a relaxed Ti2AgBiO6 crystal at the PBE level of DFT.

Cell lengths 5.5369, 5.5369, 5.5369 Å; angles 120.84, 120.84, 88.54 degrees
With the nearest neighbours (Å) after each atom.
Atoms (fractional coordinates):
Ti1 0.2500 0.7500 0.5000  6 O 1.98
Ti2 0.7500 0.2500 0.5000  6 O 1.98
Ag1 0.0000 0.0000 0.0000  8 O 2.55-2.73
Bi1 0.5000 0.5000 0.0000  4 O 2.42
O1 0.0000 0.5000 0.5000  2 Ti 1.98
O2 0.0674 0.4541 0.0000  2 Ti 1.98
O3 0.4541 0.0674 0.0000  2 Ti 1.98
O4 0.5000 0.0000 0.5000  2 Ti 1.98
O5 0.5459 0.5459 0.6133  2 Ti 1.98
O6 0.9326 0.9326 0.3867  2 Ti 1.98

Results
The electronic total energy comes out at -7.2723 eV/atom.

[17]
Computed, not measured: a relaxed CeReN4 crystal at the PBE level of DFT.

Cell lengths 4.8727, 5.5912, 5.2263 Å; angles 90.00, 90.32, 90.00 degrees
With the nearest neighbours (Å) after each atom.
Atoms (fractional coordinates):
Ce1 0.0000 0.0000 0.0000  4 N 2.33-2.60
Ce2 0.0000 0.5000 0.5000  4 N 2.33-2.60
Re1 0.5000 0.0000 0.5000  6 N 1.98-2.07
Re2 0.5000 0.5000 0.0000  6 N 1.98-2.07
N1 0.0882 0.0907 0.4950  1 N 1.33
N2 0.0882 0.4093 0.9950  1 N 1.33
N3 0.4271 0.7065 0.2996  2 Re 1.98
N4 0.4271 0.7935 0.7996  2 Re 1.98
N5 0.5729 0.2065 0.2004  2 Re 1.98
N6 0.5729 0.2935 0.7004  2 Re 1.98
N7 0.9118 0.5907 0.0050  1 N 1.33
N8 0.9118 0.9093 0.5050  1 N 1.33

Results
The electronic total energy comes out at -9.0024 eV/atom.

[18]
Computed, not measured: a relaxed Na2H2S crystal at the PBE level of DFT.

Cell lengths 4.8406, 4.8406, 4.7590 Å; angles 119.05, 119.05, 58.87 degrees
With the nearest neighbours (Å) after each atom.
Atoms (fractional coordinates):
Na1 0.2503 0.2503 0.2503  4 H 2.37-2.39
Na2 0.7497 0.7497 0.7497  4 H 2.37-2.39
H1 0.2474 0.2474 0.7499  1 S 1.73
H2 0.7526 0.7526 0.2501  1 S 1.73
S1 0.0000 0.0000 0.5000  2 H 1.73

Results
The electronic total energy comes out at -2.9834 eV/atom.

[19]
Computed, not measured: a relaxed K2MgCr crystal at the PBE level of DFT.

Cell lengths 7.3657, 7.3657, 7.3657 Å; angles 149.34, 128.74, 60.92 degrees
With the nearest neighbours (Å) after each atom.
Atoms (fractional coordinates):
K1 0.0000 0.0000 0.0000  4 Cr 3.80, 6 K 3.89-4.25, 2 Mg 4.02
K2 0.7027 0.2027 0.5000  2 Cr 3.81, 4 Mg 3.85, 6 K 3.89-4.25
Mg1 0.2770 0.7770 0.5000  2 Cr 2.89
Cr1 0.4451 0.4451 0.0000  2 Mg 2.89

Results
For the formation energy, the calculation gives 641.7 meV per atom.

[20]
Computed, not measured: a relaxed Hf6Ga3Pt crystal at the PBE level of DFT.

Cell lengths 5.3499, 7.7100, 11.2201 Å; angles 90.00, 117.45, 90.00 degrees
With the nearest neighbours (Å) after each atom.
Atoms (fractional coordinates):
Hf1 0.0047 0.1690 0.4223  3 Ga 2.70-2.92, 1 Pt 2.71
Hf2 0.0047 0.3310 0.9223  3 Ga 2.70-2.92, 1 Pt 2.71
Hf3 0.3366 0.6727 0.4234  1 Pt 2.68, 3 Ga 2.68-2.89
Hf4 0.3366 0.8273 0.9234  1 Pt 2.68, 3 Ga 2.68-2.89
Hf5 0.3923 0.0288 0.2501  1 Pt 2.60, 2 Ga 2.63-2.76
Hf6 0.3923 0.4712 0.7501  1 Pt 2.60, 2 Ga 2.63-2.76
Hf7 0.6077 0.5288 0.2499  1 Pt 2.60, 2 Ga 2.63-2.76
Hf8 0.6077 0.9712 0.7499  1 Pt 2.60, 2 Ga 2.63-2.76
Hf9 0.6634 0.1727 0.0766  1 Pt 2.68, 3 Ga 2.68-2.89
Hf10 0.6634 0.3273 0.5766  1 Pt 2.68, 3 Ga 2.68-2.89
Hf11 0.9953 0.6690 0.0777  3 Ga 2.70-2.92, 1 Pt 2.71
Hf12 0.9953 0.8310 0.5777  3 Ga 2.70-2.92, 1 Pt 2.71
Ga1 0.0000 0.0000 0.0000  6 Hf 2.63-2.70
Ga2 0.0000 0.5000 0.5000  6 Hf 2.63-2.70
Ga3 0.1523 0.1309 0.7563  6 Hf 2.76-2.94
Ga4 0.1523 0.3691 0.2563  6 Hf 2.76-2.94
Ga5 0.8477 0.6309 0.7437  6 Hf 2.76-2.94
Ga6 0.8477 0.8691 0.2437  6 Hf 2.76-2.94
Pt1 0.5000 0.0000 0.5000  6 Hf 2.60-2.71
Pt2 0.5000 0.5000 0.0000  6 Hf 2.60-2.71

Results
For the formation energy, the calculation gives -313.4 meV per atom.

no.,V (Å³/f.u.)
1,209.8
2,322.6
3,437.3
4,182.9
5,133.4
6,685.9
7,61.1
8,71.8
9,121.4
10,77.4
11,163.0
12,437.1
13,152.0
14,249.7
15,96.1
16,118.5
17,71.2
18,79.2
19,157.6
20,205.4